! GGA-PBEsol MgZn2Ni, optimized geometry; values from VASP
! * symmetry: I-4m2 (119)
! * formation energy: -0.14 eV/atom
! * DOS(E_F): 1.3 states/eV per cell
&SYSTEM
  ibrav = 0, nat = 4, ntyp = 3
/
ATOMIC_SPECIES
Ni 58.69 Ni.upf
Zn 65.41 Zn.upf
Mg 24.30 Mg.upf
CELL_PARAMETERS angstrom
3.734 0.000 0.000
0.000 3.734 0.000
-1.867 -1.867 3.886
ATOMIC_POSITIONS angstrom
Ni 0.000 1.867 1.943
Zn 0.000 0.000 0.000
Zn 1.867 0.000 1.943
Mg 1.867 1.867 0.000

=====

! GGA-PBEsol SiAg2S3, optimized geometry; values from VASP
! * symmetry: P2_1/c (14)
! * energy relative to the elements, uncorrected: -0.373 eV/atom
&SYSTEM
  ibrav = 0, nat = 24, ntyp = 3
/
ATOMIC_SPECIES
Si 28.09 Si.upf
Ag 107.87 Ag.upf
S 32.06 S.upf
CELL_PARAMETERS angstrom
-1.899 2.348 5.791
-4.615 -4.536 0.325
7.048 -7.448 5.331
ATOMIC_POSITIONS angstrom
Si 4.715 -6.178 10.267
Si 1.293 -4.473 4.770
Si -4.182 -3.458 1.180
Si -0.760 -5.164 6.676
Ag 4.442 -4.537 6.713
Ag 1.111 -5.551 9.714
Ag -3.908 -5.099 4.734
Ag -0.577 -4.086 1.733
Ag 2.262 -8.028 8.513
Ag 0.007 -8.242 4.178
Ag -1.728 -1.609 2.933
Ag 0.527 -1.394 7.268
S 3.436 -5.844 8.635
S 3.128 -5.493 4.709
S -2.902 -3.792 2.811
S -2.594 -4.143 6.737
S 5.723 -7.656 6.270
S 0.927 -3.788 6.812
S -5.189 -1.981 5.176
S -0.393 -5.848 4.635
S -1.739 -0.729 5.256
S 1.052 -2.911 3.374
S 2.272 -8.907 6.191
S -0.518 -6.725 8.073

=====

! GGA-PBEsol NiH8Cl2O4, optimized geometry; values from VASP
! * symmetry: P2_1/c (14)
! * total DFT energy (no corrections): -286.42 eV per cell
&SYSTEM
  ibrav = 0, nat = 60, ntyp = 4
/
ATOMIC_SPECIES
Ni 58.69 Ni.upf
H 1.01 H.upf
Cl 35.45 Cl.upf
O 16.00 O.upf
CELL_PARAMETERS angstrom
-2.880 2.579 -4.272
-3.046 -8.084 -2.827
-7.472 0.137 7.660
ATOMIC_POSITIONS angstrom
Ni -4.203 -1.353 -1.180
Ni -4.492 -6.629 -0.392
Ni -9.195 -4.015 1.741
Ni -8.906 1.261 0.954
H -4.114 -2.967 -3.355
H -5.811 1.944 -0.956
H -9.284 -2.401 3.917
H -7.587 -7.312 1.518
H -3.451 -3.760 -2.079
H -3.652 0.004 1.985
H -9.947 -1.608 2.641
H -9.746 -5.372 -1.424
H -5.427 -3.638 -0.487
H -1.715 -0.222 0.357
H -7.971 -1.730 1.049
H -11.683 -5.146 0.205
H -5.533 -2.639 0.798
H -3.816 -7.077 -2.976
H -1.810 -2.134 -0.697
H -7.865 -2.729 -0.236
H -6.353 -1.675 -2.601
H -6.194 -6.306 -4.144
H -7.045 -3.693 3.163
H -7.204 0.938 4.706
H -6.535 -0.387 -1.741
H -5.105 -5.188 -4.163
H -6.863 -4.981 2.302
H -8.293 -0.180 4.725
H -2.651 -2.396 0.653
H -5.936 -5.297 -2.124
H -10.747 -2.972 -0.092
H -7.462 -0.071 2.686
H -6.685 0.022 1.276
H -11.588 -3.234 1.258
H -6.713 -5.390 -0.715
H -9.582 1.709 3.537
Cl -2.838 0.070 -2.491
Cl -7.856 -3.134 -2.535
Cl -10.561 -5.438 3.052
Cl -5.542 -2.234 3.096
Cl -4.870 0.326 0.307
Cl -5.544 -2.648 -5.073
Cl -8.528 -5.694 0.254
Cl -7.854 -2.720 5.635
O -3.827 -2.902 -2.413
O -2.918 0.095 2.650
O -9.571 -2.465 2.974
O -10.480 -5.463 -2.089
O -5.319 -2.697 -0.162
O -4.216 -7.514 -2.189
O -8.079 -2.671 0.723
O -9.182 2.146 2.751
O -5.858 -0.846 -2.324
O -6.025 -5.375 -3.806
O -7.540 -4.522 2.885
O -7.373 0.007 4.367
O -2.506 -1.733 -0.096
O -5.809 -5.240 -1.122
O -10.892 -3.635 0.658
O -7.589 -0.128 1.684

=====

no.,volume (Å³ per cell)
1,54
2,489
3,552